Entry 1:
Density functional theory data (PBE-GGA) for an optimized crystal structure of CdIrAu2.

Geometry as POSCAR:
```
CdIrAu2
1.0
-3.0129 0.6530 -3.7582
-2.8449 -0.4827 3.9117
0.0999 3.0350 0.4472
Ir Au Cd
1 2 1
Direct
0.0000 0.5000 0.5000
0.5000 0.5000 0.0000
0.0000 0.0000 0.0000
0.5000 0.0000 0.5000
```

Results
The symmetry is Cmmm. For the formation energy, the calculation gives 3.5 kcal/mol of atoms. As for the density: 16.6 g cm⁻³.



Entry 2:
Density functional theory data (PBE-GGA) for an optimized crystal structure of Pm3Al2Si3.

Geometry as POSCAR:
```
Pm3Al2Si3
1.0
4.2120 0.0000 0.0000
-2.1060 5.5232 0.0000
0.0000 0.0000 15.3090
Si Al Pm
6 4 6
Direct
0.5750 0.1501 0.0543
0.2838 0.5676 0.2500
0.4250 0.8499 0.9457
0.4250 0.8499 0.5543
0.7162 0.4324 0.7500
0.5750 0.1501 0.4457
0.8551 0.7101 0.8797
0.1449 0.2899 0.3797
0.1449 0.2899 0.1203
0.8551 0.7101 0.6203
0.1427 0.2854 0.5934
0.1427 0.2854 0.9066
0.5591 0.1183 0.2500
0.4409 0.8817 0.7500
0.8573 0.7146 0.0934
0.8573 0.7146 0.4066
```

Results
The symmetry is Cmcm. The calculation puts the total energy at -5.360 eV/atom. As for the density: 5.3 g cm⁻³.



Entry 3:
Density functional theory data (PBE-GGA) for an optimized crystal structure of LaSnPt4.

Geometry as POSCAR:
```
LaSnPt4
1.0
-1.3359 -3.8977 1.5517
-1.4928 -1.5658 -5.2183
10.3174 -1.9873 -2.3552
Sn Pt La
2 8 2
Direct
0.8972 0.2500 0.7944
0.1028 0.7500 0.2056
0.0000 0.5000 0.0000
0.2107 0.4936 0.4213
0.7893 0.9936 0.5787
0.3254 0.2500 0.6508
0.7893 0.5064 0.5787
0.6746 0.7500 0.3492
0.0000 0.0000 0.0000
0.2107 0.0064 0.4213
0.3935 0.7500 0.7870
0.6065 0.2500 0.2130
```

Results
The energy above the most stable polymorph in this dataset is 141 meV per atom. The symmetry is Cmcm. For the formation energy, the calculation gives -14.8 kcal/mol of atoms. As for the density: 13.1 g cm⁻³.



Entry 4:
Density functional theory data (PBE-GGA) for an optimized crystal structure of RbNpTl2I8.

Geometry as POSCAR:
```
RbNpTl2I8
1.0
8.3426 0.1265 -0.0143
0.1783 7.4189 0.0403
-0.0040 0.0745 10.3401
I Rb Tl Np
8 1 2 1
Direct
0.1359 0.7537 0.8024
0.8641 0.2463 0.1976
0.8748 0.2533 0.7974
0.1252 0.7467 0.2026
0.6631 0.7163 0.5012
0.2992 0.1932 0.0057
0.3369 0.2837 0.4988
0.7008 0.8068 0.9943
0.0000 0.0000 0.5000
0.4997 0.5063 0.2660
0.5003 0.4937 0.7340
0.0000 0.0000 0.0000
```

Results
The symmetry is P-1. The calculation puts the total energy at -3.344 eV/atom. As for the density: 4.5 g cm⁻³.



Entry 5:
Density functional theory data (PBE-GGA) for an optimized crystal structure of CuBiCl5.

Geometry as POSCAR:
```
CuBiCl5
1.0
-3.0391 6.9217 -0.1172
-1.8539 -4.9187 -5.4340
-7.1958 -2.2213 3.3428
Cl Cu Bi
10 2 2
Direct
0.9548 0.6938 0.1227
0.6938 0.9548 0.6227
0.2778 0.5082 0.4631
0.4918 0.7222 0.0369
0.9190 0.0810 0.2500
0.3062 0.0452 0.3773
0.5082 0.2778 0.9631
0.0452 0.3062 0.8773
0.0810 0.9190 0.7500
0.7222 0.4918 0.5369
0.0000 0.0000 0.0000
0.0000 0.0000 0.5000
0.5428 0.4572 0.2500
0.4572 0.5428 0.7500
```

Results
The energy above the most stable polymorph in this dataset is 0 meV per atom. The symmetry is C2/c. As for the density: 3.7 g cm⁻³.



Entry 6:
Density functional theory data (PBE-GGA) for an optimized crystal structure of Ho4Cu2Ni.

Geometry as POSCAR:
```
Ho4Cu2Ni
1.0
4.6009 0.0000 1.4374
2.0759 4.1060 1.4374
-0.0799 -0.0492 8.3378
Cu Ho Ni
2 4 1
Direct
0.2495 0.2495 0.2516
0.7505 0.7505 0.7484
0.8762 0.8762 0.3713
0.3741 0.3741 0.8777
0.1238 0.1238 0.6287
0.6259 0.6259 0.1223
0.0000 0.0000 0.0000
```

Results
The symmetry is R-3m. For the formation energy, the calculation gives -4.3 kcal/mol of atoms. As for the density: 8.9 g cm⁻³.